# RbSeBrCl2 (GGA-PBE, relaxed)
# E_form (uncorrected) in eV/f.u.: -3.90
# Space group: P4/mmm
# M_tot in μB/f.u.: 0.0
data_RbSeBrCl2
_space_group_name_H-M_alt 'P 1'
_space_group_IT_number 1
_cell_length_a 5.4450
_cell_length_b 5.4450
_cell_length_c 5.2250
_cell_angle_alpha 90.00
_cell_angle_beta 90.00
_cell_angle_gamma 90.00
loop_
_space_group_symop_operation_xyz
'x,y,z'
loop_
_atom_site_label
_atom_site_fract_x
_atom_site_fract_y
_atom_site_fract_z
_atom_site_occupancy
Se1 0.0000 0.0000 0.0000 1
Br1 0.0000 0.0000 0.5000 1
Rb1 0.5000 0.5000 0.5000 1
Cl1 0.0000 0.5000 0.0000 1
Cl2 0.5000 0.0000 0.0000 1